Record 1
# AlCu3B

A PBEsol-optimized structure of AlCu3B (SCAN, the Alexandria database).

Summary:
calculated total energy	-11.9814	eV per atom
ΔE_f	0.17	eV/atom
space-group type	Pm-3m
D(E_F)	0.32	states/eV/atom

a = 3.9091 Å, b = 3.9091 Å, c = 3.9091 Å
α = 90.00°, β = 90.00°, γ = 90.00°
With the nearest neighbours (Å) after each atom.
Positions (direct):
Al: 0.5000 0.5000 0.5000  12 Cu 2.76
Cu: 0.0000 0.0000 0.5000  2 B 1.95
Cu: 0.0000 0.5000 0.0000  2 B 1.95
Cu: 0.5000 0.0000 0.0000  2 B 1.95
B: 0.0000 0.0000 0.0000  6 Cu 1.95

Record 2
# Ba2IrPb

A PBEsol-optimized structure of Ba2IrPb (SCAN, the Alexandria database).

Summary:
calculated total energy	-56.8051	eV per atom
ΔE_f	-0.31	eV/atom
space-group type	Amm2
D(E_F)	0.77	states/eV/atom

a = 5.1384 Å, b = 4.4574 Å, c = 6.3841 Å
α = 90.00°, β = 113.73°, γ = 90.00°
With the nearest neighbours (Å) after each atom.
Positions (direct):
Ba: 0.0894 0.0000 0.1788  1 Ir 3.16
Ba: 0.3845 0.5000 0.7689  3 Pb 3.44-3.56, 4 Ir 3.49
Pb: 0.6889 0.5000 0.3779  2 Ir 2.70
Ir: 0.8190 0.0000 0.6381  2 Pb 2.70